{"formula": "In3SiPb", "functional": "PBE-GGA", "state": "optimized geometry", "lattice": [[5.279, 0.000, 0.000], [0.000, 5.279, 0.000], [0.000, 0.000, 5.279]], "species": ["In", "In", "In", "Si", "Pb"], "fractional_positions": [[0.500, 0.000, 0.000], [0.000, 0.000, 0.500], [0.000, 0.500, 0.000], [0.000, 0.000, 0.000], [0.500, 0.500, 0.500]], "sg": "Pm-3m (221)", "polymorph_energy_mev_per_atom": 0, "raw_formation_energy_ev_per_atom": 0.36}



{"formula": "YEr2TmO6", "functional": "PBE-GGA", "state": "optimized geometry", "lattice": [[-5.601, 0.534, -1.207], [-3.600, -4.362, 1.060], [-3.891, 0.526, 4.571]], "species": ["Er", "Er", "O", "O", "O", "O", "O", "O", "Tm", "Y"], "fractional_positions": [[0.524, 0.524, 0.427], [0.023, 0.023, 0.931], [0.620, 0.212, 0.249], [0.709, 0.128, 0.753], [0.411, 0.709, 0.753], [0.212, 0.918, 0.249], [0.128, 0.411, 0.753], [0.918, 0.620, 0.249], [0.309, 0.309, 0.072], [0.807, 0.807, 0.580]], "sg": "R3 (146)", "raw_formation_energy_ev_per_atom": -3.58}



{"formula": "NbBPt3", "functional": "PBE-GGA", "state": "optimized geometry", "lattice": [[4.247, 0.000, 0.000], [0.000, 4.247, 0.000], [0.000, 0.000, 4.247]], "species": ["Pt", "Pt", "Pt", "Nb", "B"], "fractional_positions": [[0.000, 0.000, 0.500], [0.500, 0.000, 0.000], [0.000, 0.500, 0.000], [0.500, 0.500, 0.500], [0.000, 0.000, 0.000]], "formation_energy_ev_per_fu": -0.10, "sg": "Pm-3m (221)", "polymorph_energy_mev_per_atom": 0}



The following Fermi-level density of states values (in states/eV/atom) correspond, in order, to the records above: 1.117, 0.000, 1.227.
The following V values (in A^3/atom) correspond, in order, to the records above: 29.42, 14.41, 15.32.